Below is crystalline In3Ga2Ag5 at its relaxed geometry, with properties calculated at the PBE-GGA level.

a = 5.957 Å, b = 6.297 Å, c = 11.727 Å
α = 105.67°, β = 104.82°, γ = 89.63°
Positions (direct):
In (0.711, 0.815, 0.429)
In (0.289, 0.185, 0.571)
In (0.254, 0.004, 0.009)
In (0.218, 0.613, 0.429)
In (0.746, 0.996, 0.991)
In (0.782, 0.387, 0.571)
Ag (0.254, 0.504, 0.008)
Ag (0.579, 0.829, 0.658)
Ag (0.394, 0.171, 0.822)
Ag (0.929, 0.652, 0.822)
Ag (0.421, 0.171, 0.342)
Ag (0.075, 0.825, 0.649)
Ag (0.746, 0.496, 0.992)
Ag (0.925, 0.175, 0.351)
Ag (0.606, 0.829, 0.178)
Ag (0.071, 0.348, 0.178)
Ga (0.601, 0.404, 0.205)
Ga (0.896, 0.199, 0.795)
Ga (0.104, 0.801, 0.205)
Ga (0.399, 0.596, 0.795)

* formation energy: 1.8 kJ per mole of atoms
* SG: C2/c, No. 15

Below is crystalline In2GaAg4 at its relaxed geometry, with properties calculated at the PBE-GGA level.

a = 3.142 Å, b = 3.140 Å, c = 16.148 Å
α = 90.00°, β = 90.00°, γ = 120.03°
Positions (direct):
Ag (0.048, 0.096, 0.942)
Ag (0.046, 0.092, 0.239)
Ag (0.382, 0.765, 0.539)
Ag (0.382, 0.765, 0.800)
In (0.714, 0.427, 0.389)
In (0.713, 0.426, 0.090)
Ga (0.716, 0.432, 0.670)

* formation energy: 3.5 kJ per mole of atoms
* SG: Cm, No. 8

Below is crystalline In2GaAg5 at its relaxed geometry, with properties calculated at the PBE-GGA level.

a = 4.855 Å, b = 6.267 Å, c = 6.267 Å
α = 90.00°, β = 90.00°, γ = 90.00°
Positions (direct):
Ag (0.000, 0.716, 0.716)
Ag (0.000, 0.284, 0.284)
Ag (0.500, 0.000, 0.000)
Ag (0.000, 0.284, 0.716)
Ag (0.000, 0.716, 0.284)
Ga (0.000, 0.000, 0.000)
In (0.500, 0.500, 0.000)
In (0.500, 0.000, 0.500)

* formation energy: 27.2 kJ per mole of atoms
* SG: P4/mmm, No. 123
* distance to the lowest polymorph of the same formula: 2.20 eV per formula unit